1.
! Sr2LiBi2, relaxed, DFT PBE-GGA; values from VASP
! E ... -15.118 eV/cell
! Distance to the lowest polymorph of the same formula ... 321.0 meV per atom
! Space-group type ... No. 139
! E_form ... -0.4157 eV per atom
&SYSTEM
  ibrav = 0, nat = 5, ntyp = 3
/
ATOMIC_SPECIES
Sr 87.62 Sr.upf
Li 6.94 Li.upf
Bi 208.98 Bi.upf
ATOMIC_POSITIONS angstrom
Sr -5.4534 -5.2055 -2.0009
Li 0.0000 0.0000 0.0000
Sr -1.3755 -7.5241 -1.5285
Bi -2.3232 -4.3015 -1.0578
Bi -4.5057 -8.4281 -2.4715
CELL_PARAMETERS angstrom
-5.8424 -1.2883 -2.9432
2.3134 -5.9254 -1.9985
-3.2998 -5.5160 1.4124

=====

2.
! Sr2Li2Bi3, relaxed, DFT PBE-GGA; values from VASP
! E ... -46.661 eV/cell
! Space-group type ... No. 63
! E_form ... -0.6423 eV per atom
&SYSTEM
  ibrav = 0, nat = 14, ntyp = 3
/
ATOMIC_SPECIES
Sr 87.62 Sr.upf
Li 6.94 Li.upf
Bi 208.98 Bi.upf
ATOMIC_POSITIONS angstrom
Sr 2.0545 -5.4317 -2.5555
Li 6.3765 -3.3342 0.7214
Li 4.3010 -8.0881 -0.1236
Bi 9.0823 -4.2540 1.3441
Li 5.8840 -0.7502 2.1541
Li 3.8085 -5.5041 1.3091
Bi 5.4962 -5.5781 -1.1084
Bi 9.6498 -7.2313 -0.3067
Sr 3.2642 -1.9203 0.2327
Bi 0.5352 -1.6069 2.3372
Sr 6.9208 -6.9179 1.7978
Sr 8.1305 -3.4065 4.5860
Bi 4.6888 -3.2601 3.1389
Bi 1.1027 -4.5842 0.6864
CELL_PARAMETERS angstrom
-1.7385 -2.4846 3.8835
1.3693 -7.1840 -3.9833
10.5542 0.8304 2.1304

=====

3.
! Sr2LiBi2, relaxed, DFT PBE-GGA; values from VASP
! E ... -33.446 eV/cell
! Distance to the lowest polymorph of the same formula ... 0.0 meV per atom
! Space-group type ... No. 72
! E_form ... -0.7367 eV per atom
&SYSTEM
  ibrav = 0, nat = 10, ntyp = 3
/
ATOMIC_SPECIES
Bi 208.98 Bi.upf
Sr 87.62 Sr.upf
Li 6.94 Li.upf
ATOMIC_POSITIONS angstrom
Bi 0.7285 2.6937 5.9931
Sr 4.4052 -3.9718 3.4878
Bi 1.3670 -1.8783 3.5834
Bi 4.2501 2.3219 2.9024
Sr 3.3790 0.1716 5.5073
Li 1.1914 -4.6948 3.9743
Bi 4.8886 -2.2501 0.4928
Li 2.2326 -3.0541 1.1372
Sr 1.2118 4.4153 2.9980
Sr 2.2380 0.2720 0.9786
CELL_PARAMETERS angstrom
-2.0823 -3.2813 5.6743
5.5064 -4.4675 -0.5628
2.1930 8.1924 1.3743

=====

4.
! Sr2LiBi2, relaxed, DFT PBE-GGA; values from VASP
! E ... -31.380 eV/cell
! Distance to the lowest polymorph of the same formula ... 206.6 meV per atom
! Space-group type ... No. 127
! E_form ... -0.5301 eV per atom
&SYSTEM
  ibrav = 0, nat = 10, ntyp = 3
/
ATOMIC_SPECIES
Li 6.94 Li.upf
Sr 87.62 Sr.upf
Bi 208.98 Bi.upf
ATOMIC_POSITIONS angstrom
Li 0.0000 0.0000 0.0000
Sr 6.2515 1.3242 0.0000
Sr 8.5304 6.2515 0.0000
Sr 3.6031 8.5304 0.0000
Bi 6.5679 8.2140 1.8838
Bi 1.6406 6.5679 1.8838
Bi 8.2140 3.2867 1.8838
Bi 3.2867 1.6406 1.8838
Sr 1.3242 3.6031 0.0000
Li 4.9273 4.9273 0.0000
CELL_PARAMETERS angstrom
9.8546 0.0000 0.0000
0.0000 9.8546 0.0000
0.0000 0.0000 3.7675

=====

5.
! SrLi3Bi3, relaxed, DFT PBE-GGA; values from VASP
! E ... -40.206 eV/cell
! Distance to the lowest polymorph of the same formula ... 273.0 meV per atom
! Space-group type ... No. 223
! E_form ... -0.1481 eV per atom
&SYSTEM
  ibrav = 0, nat = 14, ntyp = 3
/
ATOMIC_SPECIES
Sr 87.62 Sr.upf
Bi 208.98 Bi.upf
Li 6.94 Li.upf
ATOMIC_POSITIONS angstrom
Sr 3.7605 3.7605 3.7605
Bi 5.6407 3.7605 0.0000
Li 0.0000 3.7605 1.8802
Bi 0.0000 1.8802 3.7605
Bi 1.8802 3.7605 0.0000
Li 1.8802 0.0000 3.7605
Bi 3.7605 0.0000 1.8802
Li 3.7605 5.6407 0.0000
Li 5.6407 0.0000 3.7605
Sr 0.0000 0.0000 0.0000
Bi 0.0000 5.6407 3.7605
Li 0.0000 3.7605 5.6407
Bi 3.7605 0.0000 5.6407
Li 3.7605 1.8802 0.0000
CELL_PARAMETERS angstrom
7.5210 0.0000 0.0000
0.0000 7.5210 0.0000
0.0000 0.0000 7.5210

=====

6.
! SrLi2Bi, relaxed, DFT PBE-GGA; values from VASP
! E ... -22.950 eV/cell
! Space-group type ... No. 129
! E_form ... -0.5211 eV per atom
&SYSTEM
  ibrav = 0, nat = 8, ntyp = 3
/
ATOMIC_SPECIES
Li 6.94 Li.upf
Bi 208.98 Bi.upf
Sr 87.62 Sr.upf
ATOMIC_POSITIONS angstrom
Li 0.0000 2.3418 0.9024
Li 2.3418 2.3418 5.5432
Bi 0.0000 2.3418 3.7929
Bi 2.3418 0.0000 7.2936
Li 0.0000 0.0000 5.5432
Li 2.3418 0.0000 10.1841
Sr 0.0000 2.3418 8.2015
Sr 2.3418 0.0000 2.8849
CELL_PARAMETERS angstrom
4.6835 0.0000 0.0000
0.0000 4.6835 0.0000
0.0000 0.0000 11.0865

=====

7.
! Sr2Li2Bi, relaxed, DFT PBE-GGA; values from VASP
! E ... -25.619 eV/cell
! Distance to the lowest polymorph of the same formula ... 0.0 meV per atom
! Space-group type ... No. 127
! E_form ... -0.3474 eV per atom
&SYSTEM
  ibrav = 0, nat = 10, ntyp = 3
/
ATOMIC_SPECIES
Bi 208.98 Bi.upf
Sr 87.62 Sr.upf
Li 6.94 Li.upf
ATOMIC_POSITIONS angstrom
Bi -0.6813 -2.5990 -4.8629
Sr -2.2073 -5.9027 -6.0571
Sr -0.2414 -5.6062 -2.5322
Li -2.5594 -0.1928 -4.3072
Bi 0.0000 0.0000 0.0000
Li 0.6777 -2.1748 -2.1063
Li -2.0404 -3.0232 -7.6194
Sr -2.5390 -2.4330 -1.5176
Li 1.1967 -5.0052 -5.4185
Sr -4.5049 -2.7294 -5.0425
CELL_PARAMETERS angstrom
-4.7763 0.9207 -6.1703
3.4136 -6.1187 -3.5555
-3.3836 -3.1376 2.1510

=====

8.
! SrLi4Bi, relaxed, DFT PBE-GGA; values from VASP
! E ... -14.592 eV/cell
! Space-group type ... No. 216
! E_form ... -0.2290 eV per atom
&SYSTEM
  ibrav = 0, nat = 6, ntyp = 3
/
ATOMIC_SPECIES
Li 6.94 Li.upf
Bi 208.98 Bi.upf
Sr 87.62 Sr.upf
ATOMIC_POSITIONS angstrom
Li 4.4460 4.2872 3.0315
Li 5.9358 1.7067 3.0315
Li 7.4257 4.2872 3.0315
Bi 0.0000 0.0000 0.0000
Li 5.9358 3.4270 0.5986
Sr 2.9679 1.7135 1.2116
CELL_PARAMETERS angstrom
5.9358 0.0000 0.0000
2.9679 5.1406 0.0000
2.9679 1.7135 4.8466

=====

9.
! Sr3Li2Bi3, relaxed, DFT PBE-GGA; values from VASP
! E ... -53.134 eV/cell
! Space-group type ... No. 63
! E_form ... -0.7564 eV per atom
&SYSTEM
  ibrav = 0, nat = 16, ntyp = 3
/
ATOMIC_SPECIES
Sr 87.62 Sr.upf
Bi 208.98 Bi.upf
Li 6.94 Li.upf
ATOMIC_POSITIONS angstrom
Sr -4.9804 -1.1477 0.6268
Sr -9.6265 -8.3405 3.4577
Bi -7.0169 -2.7248 2.8054
Bi -4.2751 -4.0550 -1.1760
Li -2.0043 -2.0237 -1.4988
Li -12.6026 -7.4645 5.5833
Bi -7.5901 -6.7634 1.2791
Bi -11.8952 -10.1953 5.1293
Bi -2.7118 0.7070 -1.0448
Li -5.4362 -4.7594 1.5703
Bi -10.3318 -5.4333 5.2605
Li -9.1708 -4.7288 2.5141
Sr -4.7264 -1.4592 -3.5720
Sr -6.7919 -5.5669 4.8943
Sr -7.8150 -3.9213 -0.8098
Sr -9.8806 -8.0290 7.6565
CELL_PARAMETERS angstrom
-3.2742 3.5866 -0.4642
-0.7289 -4.6219 -4.9347
-10.6039 -8.4529 9.4833

=====

10.
! Sr3LiBi, relaxed, DFT PBE-GGA; values from VASP
! E ... -11.811 eV/cell
! Distance to the lowest polymorph of the same formula ... 0.0 meV per atom
! Space-group type ... No. 221
! E_form ... -0.1941 eV per atom
&SYSTEM
  ibrav = 0, nat = 5, ntyp = 3
/
ATOMIC_SPECIES
Sr 87.62 Sr.upf
Li 6.94 Li.upf
Bi 208.98 Bi.upf
ATOMIC_POSITIONS angstrom
Sr 2.0819 -1.6718 -1.8211
Sr 2.0415 -0.1801 2.4991
Li 2.7291 -4.6121 1.6179
Bi 0.0000 0.0000 0.0000
Sr -1.3942 -2.7601 0.9400
CELL_PARAMETERS angstrom
-2.7885 -5.5202 1.8799
4.1637 -3.3436 -3.6423
4.0829 -0.3603 4.9982

=====

11.
! Sr3Li7Bi4, relaxed, DFT PBE-GGA; values from VASP
! E ... -42.792 eV/cell
! Space-group type ... No. 12
! E_form ... -0.6304 eV per atom
&SYSTEM
  ibrav = 0, nat = 14, ntyp = 3
/
ATOMIC_SPECIES
Li 6.94 Li.upf
Sr 87.62 Sr.upf
Bi 208.98 Bi.upf
ATOMIC_POSITIONS angstrom
Li 1.8136 5.1928 2.8732
Li 4.8077 3.8474 11.1291
Sr 1.7661 1.8689 3.0615
Sr 0.9241 4.5201 6.3991
Li 3.0343 7.3537 8.0965
Bi 3.9371 4.2631 4.5179
Li 3.7457 7.0294 5.2767
Li 3.5870 1.6866 5.9058
Li 0.0000 0.0000 0.0000
Bi 2.6842 4.7772 9.4844
Li 2.8756 2.0109 8.7256
Bi 0.8434 1.0543 6.7189
Bi 5.7779 7.9859 7.2834
Sr 4.8552 7.1714 10.9408
CELL_PARAMETERS angstrom
4.7731 0.0000 1.2041
1.6773 8.5371 3.4133
0.1709 0.5032 9.3848

=====

12.
! SrLi4Bi4, relaxed, DFT PBE-GGA; values from VASP
! E ... -57.918 eV/cell
! Space-group type ... No. 137
! E_form ... -0.4553 eV per atom
&SYSTEM
  ibrav = 0, nat = 18, ntyp = 3
/
ATOMIC_SPECIES
Bi 208.98 Bi.upf
Li 6.94 Li.upf
Sr 87.62 Sr.upf
ATOMIC_POSITIONS angstrom
Bi -0.3914 -7.6125 3.9406
Li 4.1817 -4.9049 0.8638
Li -0.7660 -4.6368 3.7625
Bi 4.5269 -6.6728 3.1381
Li 2.4375 -8.0115 4.8321
Li 1.8504 -3.3559 2.2982
Sr 0.7392 -6.8852 0.8554
Bi 2.4059 -9.4711 2.2196
Li -2.8553 -6.6359 2.5255
Bi -0.9854 -2.8560 1.4826
Bi 1.7247 -4.0292 -0.6273
Li -1.1111 -3.5293 -1.4428
Li -0.1882 -10.5239 3.2776
Bi 2.0629 -5.0357 4.6540
Li 1.8188 -5.4760 -3.2454
Bi -3.1936 -4.9689 0.1753
Sr 0.0000 0.0000 0.0000
Bi -0.7822 -6.4278 -2.1115
CELL_PARAMETERS angstrom
-4.7151 -4.5115 -2.7915
5.2612 -3.4957 -3.2369
0.9323 -5.7631 7.7392

=====

13.
! Sr2Li3TbBi4, relaxed, DFT PBE-GGA; values from VASP
! E ... -35.918 eV/cell
! Space-group type ... No. 115
! E_form ... -0.6659 eV per atom
&SYSTEM
  ibrav = 0, nat = 10, ntyp = 4
/
ATOMIC_SPECIES
Bi 208.98 Bi.upf
Li 6.94 Li.upf
Tb 158.93 Tb.upf
Sr 87.62 Sr.upf
ATOMIC_POSITIONS angstrom
Bi -4.6385 1.4759 0.4943
Li -7.6352 7.3138 -2.7362
Bi 0.0000 0.0000 0.0000
Tb -6.2886 2.3314 -1.9616
Bi -2.1825 -2.0993 -1.7693
Li -2.7595 -0.5517 0.5822
Sr -2.2222 1.4729 -2.4827
Sr -8.1724 5.2893 0.3287
Li -4.1061 4.4307 -0.1923
Bi -5.7562 5.2863 -2.6482
CELL_PARAMETERS angstrom
-0.8186 -0.9667 -4.7955
-3.5463 -3.2319 1.2569
-8.2122 8.8615 -0.3846

=====

14.
! SrLiBiTe3, relaxed, DFT PBE-GGA; values from VASP
! E ... -44.472 eV/cell
! Space-group type ... No. 11
! Formation energy (no corrections) ... -889 meV/atom
&SYSTEM
  ibrav = 0, nat = 12, ntyp = 4
/
ATOMIC_SPECIES
Sr 87.62 Sr.upf
Te 127.60 Te.upf
Li 6.94 Li.upf
Bi 208.98 Bi.upf
ATOMIC_POSITIONS angstrom
Sr 6.2581 -6.6924 3.7151
Te 1.7254 -4.9684 0.1961
Li 5.6491 -7.2765 0.1034
Bi 4.2974 -4.2380 -1.5320
Te 4.4649 -7.2579 -2.4775
Te 6.2163 -4.7006 0.9860
Li 2.1620 -1.2453 5.2007
Bi 3.5136 -4.2838 6.8360
Te 3.3462 -1.2639 7.7815
Te 1.5948 -3.8212 4.3181
Sr 1.5530 -1.8294 1.5889
Te 6.0857 -3.5534 5.1079
CELL_PARAMETERS angstrom
-2.2158 -3.8065 0.9892
6.3451 -4.9341 -4.7740
3.6818 0.2188 9.0889

=====

15.
! SrLiTlBi, relaxed, DFT PBE-GGA; values from VASP
! E ... -11.575 eV/cell
! Distance to the lowest polymorph of the same formula ... 0.0 meV per atom
! Space-group type ... No. 8
! E_form ... -0.4331 eV per atom
&SYSTEM
  ibrav = 0, nat = 4, ntyp = 4
/
ATOMIC_SPECIES
Li 6.94 Li.upf
Sr 87.62 Sr.upf
Tl 204.38 Tl.upf
Bi 208.98 Bi.upf
ATOMIC_POSITIONS angstrom
Li 0.0000 0.0002 0.0001
Sr 0.0000 -0.0056 4.4567
Tl 2.6072 0.0011 2.2284
Bi 0.0000 2.6007 2.2258
CELL_PARAMETERS angstrom
5.2144 0.0000 0.0000
0.0000 5.2144 -0.0051
-2.6072 -2.6126 4.4593

=====

16.
! SrLiTlBi, relaxed, DFT PBE-GGA; values from VASP
! E ... -11.555 eV/cell
! Distance to the lowest polymorph of the same formula ... 5.2 meV per atom
! Space-group type ... No. 216
! E_form ... -0.4280 eV per atom
&SYSTEM
  ibrav = 0, nat = 4, ntyp = 4
/
ATOMIC_SPECIES
Tl 204.38 Tl.upf
Bi 208.98 Bi.upf
Sr 87.62 Sr.upf
Li 6.94 Li.upf
ATOMIC_POSITIONS angstrom
Tl 0.0352 -3.0407 1.5271
Bi 0.1056 -9.1221 4.5814
Sr 0.0704 -6.0814 3.0543
Li 0.0000 0.0000 0.0000
CELL_PARAMETERS angstrom
-3.0919 -4.3808 1.4585
2.1903 -5.1058 -0.1069
1.0424 -2.6763 4.7570

=====

17.
! SrLiTl2Bi, relaxed, DFT PBE-GGA; values from VASP
! E ... -13.671 eV/cell
! Space-group type ... No. 123
! E_form ... -0.2924 eV per atom
&SYSTEM
  ibrav = 0, nat = 5, ntyp = 4
/
ATOMIC_SPECIES
Tl 204.38 Tl.upf
Sr 87.62 Sr.upf
Li 6.94 Li.upf
Bi 208.98 Bi.upf
ATOMIC_POSITIONS angstrom
Tl 0.1443 -1.7854 -1.9345
Sr -3.3729 -2.9335 -1.1374
Tl -2.3975 0.7109 -0.8350
Li 0.0000 0.0000 0.0000
Bi -1.1197 -1.8590 1.6322
CELL_PARAMETERS angstrom
-4.7951 1.4218 -1.6700
0.2887 -3.5707 -3.8690
-2.2394 -3.7181 3.2643

=====

18.
! LiTa3Bi, relaxed, DFT PBE-GGA; values from VASP
! E ... -35.909 eV/cell
! Distance to the lowest polymorph of the same formula ... 0.0 meV per atom
! Space-group type ... No. 221
! E_form ... 1.0887 eV per atom
&SYSTEM
  ibrav = 0, nat = 5, ntyp = 3
/
ATOMIC_SPECIES
Bi 208.98 Bi.upf
Ta 180.95 Ta.upf
Li 6.94 Li.upf
ATOMIC_POSITIONS angstrom
Bi 2.2690 2.2690 2.2690
Ta 2.2690 0.0000 0.0000
Ta 0.0000 2.2690 0.0000
Li 0.0000 0.0000 0.0000
Ta 0.0000 0.0000 2.2690
CELL_PARAMETERS angstrom
4.5379 0.0000 0.0000
0.0000 4.5379 0.0000
0.0000 0.0000 4.5379

=====

19.
! LiTa3Bi, relaxed, DFT PBE-GGA; values from VASP
! E ... -29.976 eV/cell
! Distance to the lowest polymorph of the same formula ... 1186.6 meV per atom
! Space-group type ... No. 221
! E_form ... 2.2753 eV per atom
&SYSTEM
  ibrav = 0, nat = 5, ntyp = 3
/
ATOMIC_SPECIES
Bi 208.98 Bi.upf
Li 6.94 Li.upf
Ta 180.95 Ta.upf
ATOMIC_POSITIONS angstrom
Bi 0.0000 0.0000 0.0000
Li 0.6899 -4.2401 1.3522
Ta -1.3587 -1.2267 1.8467
Ta 2.2110 -0.9084 1.0233
Ta -0.1624 -2.1050 -1.5178
CELL_PARAMETERS angstrom
-2.7174 -2.4534 3.6933
-0.3248 -4.2100 -3.0355
4.4220 -1.8168 2.0466

=====

20.
! Li2TaBi, relaxed, DFT PBE-GGA; values from VASP
! E ... -34.368 eV/cell
! Space-group type ... No. 122
! E_form ... 0.5944 eV per atom
&SYSTEM
  ibrav = 0, nat = 8, ntyp = 3
/
ATOMIC_SPECIES
Li 6.94 Li.upf
Bi 208.98 Bi.upf
Ta 180.95 Ta.upf
ATOMIC_POSITIONS angstrom
Li 5.7672 1.8952 0.6973
Bi 7.5807 3.7903 1.3947
Bi 0.0000 0.0000 0.0000
Ta 3.7903 3.7903 0.0000
Li 1.8135 5.6855 0.6973
Li 5.6855 5.6038 2.0920
Li 9.4758 9.5575 2.0920
Ta 3.7903 7.5807 1.3947
CELL_PARAMETERS angstrom
7.5807 0.0000 0.0000
0.0000 7.5807 0.0000
3.7903 3.7903 2.7893